No. 1
A relaxed structure of AuI2, computed with PBE.

Cell: 3.718 3.718 12.766 Å, 90.00 90.00 90.00°
Space group I4/mmm (No. 139)
One atom of each set of equivalent atoms:
Au 0.000 0.000 0.000 x2
I 0.000 0.000 0.357 x4

Values from the calculation:
VASP energy (eV per atom): -1.6499

---

No. 2
A relaxed structure of AlFeMoAu, computed with PBE.

Cell: 6.225 6.225 6.225 Å, 90.00 90.00 90.00°
Space group F-43m (No. 216)
One atom of each set of equivalent atoms:
Al 0.000 0.000 0.000 x4
Fe 0.250 0.250 0.750 x4
Mo 0.250 0.250 0.250 x4
Au 0.000 0.000 0.500 x4

Values from the calculation:
Excess energy over the best structure of this formula in the dataset (meV/atom): 175
Size of the total moment (μB/cell): 3.88

---

No. 3
A relaxed structure of BaErCuTe3, computed with PBE.

Cell: 19.671 4.485 9.049 Å, 90.00 102.00 90.00°
Space group C2/m (No. 12)
One atom of each set of equivalent atoms:
Ba 0.130 0.000 0.070 x4
Er 0.162 0.000 0.580 x4
Cu 0.041 0.500 0.704 x4
Te 0.000 0.000 0.500 x2
Te 0.000 0.500 0.000 x2
Te 0.176 0.500 0.812 x4
Te 0.177 0.500 0.362 x4

Values from the calculation:
VASP energy (eV per atom): -4.3864
Size of the total moment (μB/cell): 0.01

---

No. 4
A relaxed structure of PuCd2Sb2, computed with PBE.

Cell: 4.393 25.503 4.406 Å, 90.00 90.00 90.00°
Space group Cmcm (No. 63)
One atom of each set of equivalent atoms:
Pu 0.000 0.155 0.250 x4
Cd 0.000 0.042 0.750 x4
Cd 0.000 0.455 0.750 x4
Sb 0.000 0.250 0.750 x4
Sb 0.000 0.368 0.250 x4

Values from the calculation:
VASP energy (eV per atom): -5.1925
Size of the total moment (μB/cell): 21.82

---

No. 5
A relaxed structure of Be2AsAu, computed with PBE.

Cell: 6.182 6.182 6.182 Å, 90.00 90.00 90.00°
Space group F-43m (No. 216)
One atom of each set of equivalent atoms:
Be 0.000 0.000 0.000 x4
Be 0.250 0.250 0.250 x4
As 0.000 0.000 0.500 x4
Au 0.250 0.250 0.750 x4

Values from the calculation:
VASP energy (eV per atom): -3.3033

---

No. 6
A relaxed structure of RbSrPt, computed with PBE.

Cell: 7.556 7.556 7.556 Å, 90.00 90.00 90.00°
Space group F-43m (No. 216)
One atom of each set of equivalent atoms:
Rb 0.000 0.000 0.000 x4
Sr 0.000 0.000 0.500 x4
Pt 0.250 0.250 0.250 x4

Values from the calculation:
VASP energy (eV per atom): -3.0730
Size of the total moment (μB/cell): 1.31

---

No. 7
A relaxed structure of HoLu2Al7Cu2, computed with PBE.

Cell: 5.4347 5.4347 25.2568 Å, 90.00 90.00 120.00°
Space group R-3m (No. 166, hexagonal axes)
One atom of each set of equivalent atoms:
Ho 0.0000 0.0000 0.0000 x3
Lu 0.0000 0.0000 0.1423 x6
Al 0.0000 0.0000 0.5000 x3
Al 0.0061 0.5030 0.9207 x18
Cu 0.0000 0.0000 0.3351 x6

Values from the calculation:
VASP energy (eV per atom): -4.4059
Size of the total moment (μB/cell): 0.00

---

No. 8
A relaxed structure of NbBiW2, computed with PBE.

Cell: 6.667 6.667 6.667 Å, 90.00 90.00 90.00°
Space group F-43m (No. 216)
One atom of each set of equivalent atoms:
Nb 0.000 0.000 0.000 x4
Bi 0.250 0.250 0.750 x4
W 0.000 0.000 0.500 x4
W 0.250 0.250 0.250 x4

Values from the calculation:
VASP energy (eV per atom): -9.2799
Size of the total moment (μB/cell): 0.00

---

No. 9
A relaxed structure of HoPIrO, computed with PBE.

Cell: 3.372 7.417 5.294 Å, 90.00 90.00 90.00°
Space group Pmc2_1 (No. 26)
One atom of each set of equivalent atoms:
Ho 0.000 0.210 0.000 x2
P 0.000 0.420 0.497 x2
Ir 0.500 0.219 0.488 x2
O 0.500 0.054 0.880 x2

Values from the calculation:
Excess energy over the best structure of this formula in the dataset (meV/atom): 681
Size of the total moment (μB/cell): 0.00

---

No. 10
A relaxed structure of Sr3BPt8, computed with PBE.

Cell: 5.5582 5.5582 25.1461 Å, 90.00 90.00 120.00°
Space group R-3m (No. 166, hexagonal axes)
One atom of each set of equivalent atoms:
Sr 0.0000 0.0000 0.0000 x3
Sr 0.0000 0.0000 0.1397 x6
B 0.0000 0.0000 0.5000 x3
Pt 0.0000 0.0000 0.3301 x6
Pt 0.0054 0.5027 0.0908 x18

Values from the calculation:
VASP energy (eV per atom): -5.5363
Size of the total moment (μB/cell): 0.01

---

No. 11
A relaxed structure of Sr2AlTcN6, computed with PBE.

Cell: 5.5460 5.5460 13.5573 Å, 90.00 90.00 120.00°
Space group R-3m (No. 166, hexagonal axes)
One atom of each set of equivalent atoms:
Sr 0.0000 0.0000 0.2499 x6
Al 0.0000 0.0000 0.0000 x3
Tc 0.0000 0.0000 0.5000 x3
N 0.0020 0.5010 0.7494 x18

Values from the calculation:
VASP energy (eV per atom): -6.7680
Size of the total moment (μB/cell): 1.01

---

No. 12
A relaxed structure of MgGeTeW, computed with PBE.

Cell: 6.784 6.784 6.784 Å, 90.00 90.00 90.00°
Space group F-43m (No. 216)
One atom of each set of equivalent atoms:
Mg 0.000 0.000 0.000 x4
Ge 0.000 0.000 0.500 x4
Te 0.250 0.250 0.250 x4
W 0.250 0.250 0.750 x4

Values from the calculation:
Excess energy over the best structure of this formula in the dataset (meV/atom): 411
Size of the total moment (μB/cell): 5.16

---

No. 13
A relaxed structure of Cs2ZrAg2Te2S2, computed with PBE.

Cell: 6.429 14.881 6.421 Å, 90.00 92.49 90.00°
Space group C2 (No. 5)
One atom of each set of equivalent atoms:
Cs 0.245 0.000 0.239 x4
Zr 0.000 0.733 0.500 x2
Ag 0.000 0.232 0.500 x2
Ag 0.000 0.733 0.000 x2
Te 0.245 0.342 0.247 x4
S 0.212 0.638 0.288 x4

Values from the calculation:
Excess energy over the best structure of this formula in the dataset (meV/atom): 0
Size of the total moment (μB/cell): 0.01

---

No. 14
A relaxed structure of PrGdSn2Pt4, computed with PBE.

Cell: 4.6067 4.6067 9.2816 Å, 90.00 90.00 120.00°
Space group P-6m2 (No. 187)
One atom of each set of equivalent atoms:
Pr 0.0000 0.0000 0.0000 x1
Gd 0.3333 0.6667 0.5000 x1
Sn 0.6667 0.3333 0.2542 x2
Pt 0.0000 0.0000 0.3434 x2
Pt 0.3333 0.6667 0.1685 x2

Values from the calculation:
VASP energy (eV per atom): -6.1667
Size of the total moment (μB/cell): 0.00

---

No. 15
A relaxed structure of DyHoIn2Br2, computed with PBE.

Cell: 4.4055 4.4055 10.8763 Å, 90.00 90.00 120.00°
Space group P3m1 (No. 156)
One atom of each set of equivalent atoms:
Dy 0.0000 0.0000 0.0000 x1
Ho 0.0000 0.0000 0.5914 x1
In 0.3333 0.6667 0.8456 x1
In 0.6667 0.3333 0.7446 x1
Br 0.3333 0.6667 0.4426 x1
Br 0.6667 0.3333 0.1499 x1

Values from the calculation:
VASP energy (eV per atom): -3.9404
Size of the total moment (μB/cell): 0.01

---

No. 16
A relaxed structure of Zr4Fe3, computed with PBE.

Cell: 8.0189 8.0189 4.3796 Å, 90.00 90.00 120.00°
Space group P6_3/m (No. 176)
One atom of each set of equivalent atoms:
Zr 0.0224 0.7459 0.2500 x6
Zr 0.3333 0.6667 0.7500 x2
Fe 0.1046 0.4828 0.2500 x6

Values from the calculation:
Size of the total moment (μB/cell): 0.06
Energy of formation from the pure elements (eV per atom): 0.0023

---

No. 17
A relaxed structure of LuRePO, computed with PBE.

Cell: 4.352 4.448 6.002 Å, 90.00 90.00 90.00°
Space group Pmc2_1 (No. 26)
One atom of each set of equivalent atoms:
Lu 0.000 0.193 0.000 x2
Re 0.500 0.367 0.346 x2
P 0.500 0.138 0.701 x2
O 0.000 0.365 0.340 x2

Values from the calculation:
Excess energy over the best structure of this formula in the dataset (meV/atom): 462
Size of the total moment (μB/cell): 0.01

---

No. 18
A relaxed structure of AcInCo, computed with PBE.

Cell: 7.182 7.182 7.182 Å, 90.00 90.00 90.00°
Space group F-43m (No. 216)
One atom of each set of equivalent atoms:
Ac 0.000 0.000 0.000 x4
In 0.250 0.250 0.250 x4
Co 0.250 0.250 0.750 x4

Values from the calculation:
Excess energy over the best structure of this formula in the dataset (meV/atom): 321
Size of the total moment (μB/cell): 0.06

---

No. 19
A relaxed structure of TbGdTm, computed with PBE.

Cell: 7.628 7.628 7.628 Å, 90.00 90.00 90.00°
Space group F-43m (No. 216)
One atom of each set of equivalent atoms:
Tb 0.000 0.000 0.000 x4
Gd 0.000 0.000 0.500 x4
Tm 0.250 0.250 0.750 x4

Values from the calculation:
Size of the total moment (μB/cell): 0.01
Energy of formation from the pure elements (eV per atom): 0.7126

---

No. 20
A relaxed structure of HfCoPbAu, computed with PBE.

Cell: 6.649 6.649 6.649 Å, 90.00 90.00 90.00°
Space group F-43m (No. 216)
One atom of each set of equivalent atoms:
Hf 0.000 0.000 0.000 x4
Co 0.000 0.000 0.500 x4
Pb 0.250 0.250 0.250 x4
Au 0.250 0.250 0.750 x4

Values from the calculation:
Excess energy over the best structure of this formula in the dataset (meV/atom): 48
Size of the total moment (μB/cell): 2.40